No. 1
The following is a PBE-GGA calculation of a relaxed TaZnGaI2 crystal, from Alexandria.

a b c (Å): 5.7332 5.7332 5.2317
angles (deg): 90.00 90.00 90.00
Closest atoms and distances in Å follow each position.
Space group P4/mmm (No. 123)
Inequivalent atoms, fractional coordinates:
1 Ta 0.0000 0.0000 0.0000  2 Ga 2.62
2 Zn 0.5000 0.5000 0.0000  8 I 3.88, 4 Ta 4.05
3 Ga 0.0000 0.0000 0.5000  2 Ta 2.62, 4 I 2.87
4 I 0.0000 0.5000 0.5000  2 Ga 2.87

- Raw total energy: -13.88 eV/f.u.
- Formation energy without anion corrections: 1.0748 eV per atom

No. 2
The following is a PBE-GGA calculation of a relaxed Li2AcIr2 crystal, from Alexandria.

a b c (Å): 4.3368 4.3487 21.6416
angles (deg): 90.00 90.00 90.00
Closest atoms and distances in Å follow each position.
Space group Imma (No. 74)
Inequivalent atoms, fractional coordinates:
1 Li 0.0000 0.2500 0.2066  2 Ir 2.54, 2 Li 2.80
2 Li 0.0000 0.2500 0.7120  2 Ir 2.60, 4 Li 2.72-2.80
3 Ac 0.0000 0.2500 0.4135  10 Ir 3.31-3.33, 4 Li 3.38-3.48
4 Ir 0.0000 0.2500 0.8545  1 Ir 2.53, 4 Li 2.54-2.60
5 Ir 0.0000 0.2500 0.9712  3 Ir 2.51-2.53

- Raw total energy: -27.15 eV/f.u.
- Energy above the lowest structure with this stoichiometry: 0.000 eV/atom
- Energy of formation from the pure elements: -298 meV/atom

No. 3
The following is a PBE-GGA calculation of a relaxed CuCSe2 crystal, from Alexandria.

a b c (Å): 5.2180 5.2180 10.5684
angles (deg): 90.00 90.00 90.00
Closest atoms and distances in Å follow each position.
Space group I-42d (No. 122)
Inequivalent atoms, fractional coordinates:
1 Cu 0.0000 0.0000 0.0000  4 Se 2.41
2 C 0.0000 0.0000 0.5000  4 Se 2.14
3 Se 0.2043 0.2500 0.6250  2 C 2.14

- Raw total energy: -17.14 eV/f.u.
- Formation energy without anion corrections: 0.7868 eV per atom